VASP calculation (PBE-GGA) on a relaxed structure of KCd3Pt.

Computed properties:
Space group = No. 9
Energy relative to the lowest polymorph listed for this composition = 50 meV/atom
Energy of formation = -0.21 eV per atom
ρ = 6.48 Mg/m³

Lattice parameters (Å, degrees): 6.526 7.284 7.030 61.14 89.97 89.99
Atoms (fractional coordinates):
Cd  0.257  0.679  0.798
Cd  0.781  0.082  0.879
Pt  0.527  0.750  0.044
K  0.243  0.245  0.298
Cd  0.281  0.089  0.876
Cd  0.757  0.492  0.957
Cd  0.757  0.493  0.391
Cd  0.257  0.679  0.363
Pt  0.027  0.420  0.710
K  0.743  0.926  0.458

VASP calculation (PBE-GGA) on a relaxed structure of Tb3ErPb2.

Computed properties:
Space group = No. 115
Energy relative to the lowest polymorph listed for this composition = 0 meV/atom
Energy of formation = -0.42 eV per atom
ρ = 9.81 Mg/m³

Lattice parameters (Å, degrees): 4.566 4.566 8.595 90.00 90.00 90.00
Atoms (fractional coordinates):
Pb  0.000  0.500  0.284
Er  0.500  0.500  0.000
Tb  0.000  0.500  0.658
Tb  0.000  0.000  0.000
Pb  0.500  0.000  0.716
Tb  0.500  0.000  0.342

VASP calculation (PBE-GGA) on a relaxed structure of HoScO4.

Computed properties:
Space group = No. 8
ΔE_f (raw) = -281.0 kJ/mol of atoms
ρ = 6.37 Mg/m³

Lattice parameters (Å, degrees): 3.569 3.812 5.970 95.13 90.00 117.91
Atoms (fractional coordinates):
O  0.394  0.787  0.092
O  0.104  0.207  0.383
Ho  0.430  0.860  0.477
O  0.654  0.308  0.811
Sc  0.071  0.143  0.023
O  0.848  0.695  0.714

VASP calculation (PBE-GGA) on a relaxed structure of Rb2CePaS4.

Computed properties:
Space group = No. 10
ΔE_f (raw) = -154.3 kJ/mol of atoms
ρ = 4.84 Mg/m³

Lattice parameters (Å, degrees): 4.122 7.184 8.115 106.92 90.00 90.00
Site moments in Bohr magnetons follow the coordinates.
Atoms (fractional coordinates):
S  0.000  0.723  0.196  -0.03
Pa  0.500  0.500  0.000  1.30
S  0.500  0.243  0.198  -0.03
Ce  0.000  0.000  0.000  1.08
S  0.500  0.757  0.802  -0.03
Rb  0.000  0.500  0.500  0.01
S  0.000  0.277  0.804  -0.03
Rb  0.500  0.000  0.500  0.01